# Sr2CoBr

A relaxed structure of Sr2CoBr (PBE, Alexandria).

Cell and atoms, written as POSCAR:
```
Sr2CoBr
1.0
8.6545 0.0053 -0.0052
6.8918 5.2347 0.0052
-7.7821 -2.5936 2.7591
Br Co Sr
1 1 2
direct
0.5471 0.5471 0.0000
0.8008 0.3008 0.5000
0.9333 0.9333 0.0000
0.2188 0.7188 0.5000
```

Calculated values
For the density of states at the Fermi level, the calculation gives 4.1 states/eV/cell. The total energy is -13.6 eV per cell. The polymorph energy (0 for the lowest one) is 79 meV per atom. As for the magnetic moment: 0.5 μB/f.u. As for the crystal system: orthorhombic.


# HoNpSb2

A relaxed structure of HoNpSb2 (PBE, Alexandria).

Cell and atoms, written as POSCAR:
```
HoNpSb2
1.0
-0.4523 -4.1614 1.2137
2.1018 -1.4849 3.5175
-5.2225 -0.0195 5.8123
Sb Ho Np
2 1 1
direct
0.2508 0.2508 0.2476
0.0824 0.0824 0.7529
0.4981 0.4981 0.5058
0.6688 0.6688 0.9936
```

Calculated values
For the density of states at the Fermi level, the calculation gives 8.9 states/eV/cell. The total energy is -27.9 eV per cell. The polymorph energy (0 for the lowest one) is 109 meV per atom. As for the magnetic moment: 4.0 μB/f.u. As for the crystal system: trigonal.


# SiBAuC

A relaxed structure of SiBAuC (PBE, Alexandria).

Cell and atoms, written as POSCAR:
```
SiBAuC
1.0
-2.5675 1.1979 1.1207
1.8364 -2.8359 3.0929
3.7358 3.9627 -0.3046
B C Si Au
1 1 1 1
direct
0.5503 0.5565 0.2418
0.7779 0.9231 0.3291
0.4204 0.1668 0.3658
0.2070 0.2745 0.8169
```

Calculated values
For the density of states at the Fermi level, the calculation gives 0.5 states/eV/cell. The total energy is -22.8 eV per cell. The polymorph energy (0 for the lowest one) is 231 meV per atom. As for the magnetic moment: 0.0 μB/f.u. As for the crystal system: triclinic.


# Ho5N4

A relaxed structure of Ho5N4 (PBE, Alexandria).

Cell and atoms, written as POSCAR:
```
Ho5N4
1.0
-2.4118 0.2928 2.5139
-1.6277 -6.5700 1.6347
3.6554 0.1037 5.9256
N Ho
4 5
direct
0.7918 0.3252 0.0912
0.2082 0.6748 0.9088
0.8830 0.9088 0.3252
0.1170 0.0912 0.6748
0.4072 0.3529 0.8327
0.7601 0.8327 0.6471
0.5928 0.6471 0.1673
0.0000 0.0000 0.0000
0.2399 0.1673 0.3529
```

Calculated values
For the density of states at the Fermi level, the calculation gives 2.6 states/eV/cell. The total energy is -67.2 eV per cell. The polymorph energy (0 for the lowest one) is 0 meV per atom. As for the magnetic moment: 0.0 μB/f.u. As for the crystal system: tetragonal.


# SrGa2Te

A relaxed structure of SrGa2Te (PBE, Alexandria).

Cell and atoms, written as POSCAR:
```
SrGa2Te
1.0
4.6271 -0.0023 -0.0006
-2.2670 4.0525 0.0004
-2.0464 -1.2904 12.7291
Sr Ga Te
2 4 2
direct
0.6364 0.5206 0.4415
0.1517 0.2907 0.7559
0.9149 0.6799 0.9239
0.5723 0.9993 0.9235
0.9742 0.4014 0.1032
0.3169 0.1114 0.0990
0.2092 0.8037 0.2909
0.3982 0.9073 0.6028
```

Calculated values
For the density of states at the Fermi level, the calculation gives 0.8 states/eV/cell. The total energy is -27.5 eV per cell. As for the magnetic moment: 0.0 μB/f.u. As for the crystal system: triclinic.


# Ac2MgBPd6

A relaxed structure of Ac2MgBPd6 (PBE, Alexandria).

Cell and atoms, written as POSCAR:
```
Ac2MgBPd6
1.0
-0.2271 -3.4173 -4.8589
7.2413 1.2487 -1.2180
5.8772 -4.5173 -0.7360
Pd Mg Ac B
6 1 2 1
direct
0.7314 0.2687 0.0521
0.2686 0.2166 0.4626
0.7832 0.7313 0.9481
0.7314 0.7834 0.5374
0.2168 0.2687 0.0519
0.2686 0.7313 0.9479
0.0000 0.0000 0.0000
0.2673 0.7328 0.4655
0.7327 0.2672 0.5345
0.5000 0.5000 0.0000
```

Calculated values
For the density of states at the Fermi level, the calculation gives 2.2 states/eV/cell. The total energy is -54.3 eV per cell. As for the magnetic moment: 0.0 μB/f.u. As for the crystal system: trigonal.


Which formula does entry 1 have?
Sr2CoBr